VASP calculation (PBE) on an optimized crystal structure of Zn4GaPd2.

## Properties
Energy above the most stable polymorph in this dataset   0.000 eV/atom
Fermi-level density of states   1.79 states/eV/f.u.
VASP energy   -2.99 eV per atom
Energy of formation   -33 kJ/mol of atoms

Cell lengths 5.172, 6.846, 6.742 Å; angles 111.51, 75.45, 100.27 degrees
Atoms (fractional coordinates):
Zn 0.017 0.186 0.259
Zn 0.380 0.491 0.238
Zn 0.823 0.577 0.448
Zn 0.835 0.127 0.651
Zn 0.474 0.208 0.464
Zn 0.247 0.200 0.854
Zn 0.238 0.830 0.191
Zn 0.903 0.477 0.029
Ga 0.436 0.823 0.668
Ga 0.937 0.840 0.884
Pd 0.543 0.556 0.848
Pd 0.706 0.844 0.288
Pd 0.594 0.113 0.042
Pd 0.118 0.475 0.635



VASP calculation (PBE) on an optimized crystal structure of Zn2Ga2Pd.

## Properties
Energy above the most stable polymorph in this dataset   0.185 eV/atom
Fermi-level density of states   1.83 states/eV/f.u.
VASP energy   -2.82 eV per atom
Energy of formation   -6 kJ/mol of atoms

Cell lengths 6.766, 6.766, 3.646 Å; angles 90.00, 90.00, 90.00 degrees
Atoms (fractional coordinates):
Zn 0.367 0.867 0.000
Zn 0.867 0.633 0.000
Zn 0.633 0.133 0.000
Zn 0.133 0.367 0.000
Ga 0.174 0.674 0.500
Ga 0.674 0.826 0.500
Ga 0.826 0.326 0.500
Ga 0.326 0.174 0.500
Pd 0.000 0.000 0.000
Pd 0.500 0.500 0.000



VASP calculation (PBE) on an optimized crystal structure of Zn2Ga2Pd5.

## Properties
Fermi-level density of states   3.63 states/eV/f.u.
VASP energy   -4.35 eV per atom
Energy of formation   -49 kJ/mol of atoms

Cell lengths 4.332, 7.491, 9.515 Å; angles 113.18, 103.16, 90.00 degrees
Atoms (fractional coordinates):
Zn 0.000 0.870 0.000
Zn 0.500 0.370 0.000
Zn 0.250 0.454 0.500
Zn 0.750 0.954 0.500
Ga 0.100 0.638 0.201
Ga 0.900 0.437 0.799
Ga 0.600 0.138 0.201
Ga 0.400 0.937 0.799
Pd 0.419 0.623 0.838
Pd 0.581 0.785 0.162
Pd 0.919 0.123 0.838
Pd 0.081 0.285 0.162
Pd 0.163 0.034 0.326
Pd 0.837 0.707 0.674
Pd 0.663 0.534 0.326
Pd 0.337 0.207 0.674
Pd 0.250 0.788 0.500
Pd 0.750 0.288 0.500



VASP calculation (PBE) on an optimized crystal structure of ZnGaPd2.

## Properties
Fermi-level density of states   1.32 states/eV/f.u.
VASP energy   -4.07 eV per atom
Energy of formation   -39 kJ/mol of atoms

Cell lengths 3.914, 3.914, 5.559 Å; angles 69.39, 69.39, 60.00 degrees
Atoms (fractional coordinates):
Zn 0.494 0.494 0.517
Ga 0.671 0.671 0.987
Pd 0.073 0.073 0.782
Pd 0.262 0.262 0.214



VASP calculation (PBE) on an optimized crystal structure of ZnGaPd2.

## Properties
Fermi-level density of states   1.24 states/eV/f.u.
VASP energy   -3.91 eV per atom
Energy of formation   -23 kJ/mol of atoms

Cell lengths 3.944, 3.944, 9.058 Å; angles 77.43, 77.43, 90.00 degrees
Atoms (fractional coordinates):
Zn 0.500 0.500 0.000
Zn 0.250 0.750 0.500
Ga 0.000 0.000 0.000
Ga 0.750 0.250 0.500
Pd 0.625 0.125 0.250
Pd 0.125 0.625 0.250
Pd 0.375 0.375 0.750
Pd 0.875 0.875 0.750



VASP calculation (PBE) on an optimized crystal structure of Zn2Ga2Pd7.

## Properties
Fermi-level density of states   4.51 states/eV/f.u.
VASP energy   -4.56 eV per atom
Energy of formation   -45 kJ/mol of atoms

Cell lengths 6.368, 5.913, 4.914 Å; angles 76.13, 99.21, 73.18 degrees
Atoms (fractional coordinates):
Zn 0.652 0.233 0.182
Zn 0.348 0.767 0.818
Ga 0.763 0.445 0.633
Ga 0.237 0.555 0.367
Pd 0.087 0.195 0.460
Pd 0.783 0.629 0.055
Pd 0.913 0.805 0.540
Pd 0.217 0.371 0.945
Pd 0.000 0.000 0.000
Pd 0.453 0.864 0.308
Pd 0.547 0.136 0.692